No. 1
Below is a geometry-optimized HfTaMo2Se structure, with properties calculated at the PBE level.

Cell: 4.595 4.595 4.797 Å, 90.00 90.00 90.00°
Fractional positions:
Hf (0.000, 0.000, 0.000)
Ta (0.500, 0.500, 0.000)
Mo (0.000, 0.500, 0.500)
Mo (0.500, 0.000, 0.500)
Se (0.000, 0.000, 0.500)

Summary:
- ΔE_f (raw): 0.862 eV per atom
- Total magnetic moment: 0.00 Bohr magnetons per cell



No. 2
Below is a geometry-optimized HfTeMo2Se structure, with properties calculated at the PBE level.

Cell: 5.104 5.104 5.260 Å, 90.00 90.00 90.00°
Fractional positions:
Hf (0.000, 0.000, 0.000)
Te (0.000, 0.000, 0.500)
Mo (0.000, 0.500, 0.000)
Mo (0.500, 0.000, 0.000)
Se (0.500, 0.500, 0.500)

Summary:
- ΔE_f (raw): 1.659 eV per atom
- Total magnetic moment: 4.51 Bohr magnetons per cell



No. 3
Below is a geometry-optimized HfSi2Mo2 structure, with properties calculated at the PBE level.

Cell: 6.917 6.917 3.255 Å, 90.00 90.00 90.00°
Fractional positions:
Hf (0.000, 0.000, 0.000)
Hf (0.500, 0.500, 0.000)
Si (0.131, 0.369, 0.000)
Si (0.369, 0.869, 0.000)
Si (0.631, 0.131, 0.000)
Si (0.869, 0.631, 0.000)
Mo (0.158, 0.658, 0.500)
Mo (0.342, 0.158, 0.500)
Mo (0.658, 0.842, 0.500)
Mo (0.842, 0.342, 0.500)

Summary:
- ΔE_f (raw): -0.453 eV per atom
- Total magnetic moment: 0.00 Bohr magnetons per cell
- E above lowest polymorph: 0 meV/atom



No. 4
Below is a geometry-optimized Hf2Si4Mo structure, with properties calculated at the PBE level.

Cell: 7.282 7.282 7.282 Å, 142.60 142.60 53.92°
Fractional positions:
Hf (0.112, 0.112, 0.000)
Hf (0.888, 0.888, 0.000)
Si (0.000, 0.500, 0.500)
Si (0.310, 0.310, 0.000)
Si (0.500, 0.000, 0.500)
Si (0.690, 0.690, 0.000)
Mo (0.500, 0.500, 0.000)

Summary:
- ΔE_f (raw): 0.252 eV per atom
- Total magnetic moment: 0.00 Bohr magnetons per cell



No. 5
Below is a geometry-optimized Hf2SiMo structure, with properties calculated at the PBE level.

Cell: 4.488 4.488 3.517 Å, 90.00 90.00 90.00°
Fractional positions:
Hf (0.000, 0.500, 0.000)
Hf (0.500, 0.000, 0.000)
Si (0.000, 0.000, 0.500)
Mo (0.500, 0.500, 0.500)

Summary:
- ΔE_f (raw): -0.398 eV per atom
- Total magnetic moment: 0.00 Bohr magnetons per cell



No. 6
Below is a geometry-optimized Hf2Si4Mo3 structure, with properties calculated at the PBE level.

Cell: 6.579 12.576 6.773 Å, 90.00 90.00 90.00°
Fractional positions:
Hf (0.007, 0.092, 0.170)
Hf (0.007, 0.408, 0.170)
Hf (0.493, 0.592, 0.670)
Hf (0.493, 0.908, 0.670)
Hf (0.507, 0.092, 0.330)
Hf (0.507, 0.408, 0.330)
Hf (0.993, 0.592, 0.830)
Hf (0.993, 0.908, 0.830)
Si (0.032, 0.250, 0.878)
Si (0.167, 0.043, 0.541)
Si (0.167, 0.457, 0.541)
Si (0.200, 0.750, 0.638)
Si (0.300, 0.250, 0.138)
Si (0.333, 0.543, 0.041)
Si (0.333, 0.957, 0.041)
Si (0.468, 0.750, 0.378)
Si (0.532, 0.250, 0.622)
Si (0.667, 0.043, 0.959)
Si (0.667, 0.457, 0.959)
Si (0.700, 0.750, 0.862)
Si (0.800, 0.250, 0.362)
Si (0.833, 0.543, 0.459)
Si (0.833, 0.957, 0.459)
Si (0.968, 0.750, 0.122)
Mo (0.168, 0.250, 0.486)
Mo (0.171, 0.623, 0.336)
Mo (0.171, 0.877, 0.336)
Mo (0.329, 0.123, 0.836)
Mo (0.329, 0.377, 0.836)
Mo (0.332, 0.750, 0.986)
Mo (0.668, 0.250, 0.014)
Mo (0.671, 0.623, 0.164)
Mo (0.671, 0.877, 0.164)
Mo (0.829, 0.123, 0.664)
Mo (0.829, 0.377, 0.664)
Mo (0.832, 0.750, 0.514)

Summary:
- ΔE_f (raw): -0.676 eV per atom
- Total magnetic moment: 0.00 Bohr magnetons per cell
- E above lowest polymorph: 0 meV/atom



No. 7
Below is a geometry-optimized Hf10SiMo3 structure, with properties calculated at the PBE level.

Cell: 8.696 8.696 8.756 Å, 90.00 90.00 120.00°
Fractional positions:
Hf (0.000, 0.000, 0.000)
Hf (0.000, 0.000, 0.500)
Hf (0.076, 0.538, 0.250)
Hf (0.200, 0.401, 0.545)
Hf (0.200, 0.401, 0.955)
Hf (0.200, 0.800, 0.545)
Hf (0.200, 0.800, 0.955)
Hf (0.401, 0.200, 0.045)
Hf (0.401, 0.200, 0.455)
Hf (0.462, 0.538, 0.250)
Hf (0.462, 0.924, 0.250)
Hf (0.538, 0.076, 0.750)
Hf (0.538, 0.462, 0.750)
Hf (0.599, 0.800, 0.545)
Hf (0.599, 0.800, 0.955)
Hf (0.800, 0.200, 0.045)
Hf (0.800, 0.200, 0.455)
Hf (0.800, 0.599, 0.045)
Hf (0.800, 0.599, 0.455)
Hf (0.924, 0.462, 0.750)
Si (0.333, 0.667, 0.750)
Si (0.667, 0.333, 0.250)
Mo (0.115, 0.230, 0.250)
Mo (0.115, 0.885, 0.250)
Mo (0.230, 0.115, 0.750)
Mo (0.770, 0.885, 0.250)
Mo (0.885, 0.115, 0.750)
Mo (0.885, 0.770, 0.750)

Summary:
- ΔE_f (raw): -0.180 eV per atom
- Total magnetic moment: 0.00 Bohr magnetons per cell



No. 8
Below is a geometry-optimized HfSi2Mo2 structure, with properties calculated at the PBE level.

Cell: 5.251 5.251 5.251 Å, 128.09 128.09 76.47°
Fractional positions:
Hf (0.000, 0.000, 0.000)
Si (0.250, 0.750, 0.500)
Si (0.750, 0.250, 0.500)
Mo (0.358, 0.358, 0.000)
Mo (0.642, 0.642, 0.000)

Summary:
- ΔE_f (raw): 0.052 eV per atom
- Total magnetic moment: 0.00 Bohr magnetons per cell
- E above lowest polymorph: 505 meV/atom



No. 9
Below is a geometry-optimized Hf2SiMo structure, with properties calculated at the PBE level.

Cell: 5.978 5.978 5.978 Å, 101.71 101.71 126.44°
Fractional positions:
Hf (0.104, 0.125, 0.479)
Hf (0.375, 0.896, 0.021)
Hf (0.646, 0.625, 0.521)
Hf (0.875, 0.354, 0.979)
Si (0.000, 0.000, 0.000)
Si (0.750, 0.250, 0.500)
Mo (0.250, 0.750, 0.500)
Mo (0.500, 0.500, 0.000)

Summary:
- ΔE_f (raw): 0.362 eV per atom
- Total magnetic moment: 0.00 Bohr magnetons per cell



No. 10
Below is a geometry-optimized Hf2Si4Mo3 structure, with properties calculated at the PBE level.

Cell: 6.709 6.745 6.569 Å, 90.00 109.28 90.00°
Fractional positions:
Hf (0.192, 0.169, 0.062)
Hf (0.192, 0.331, 0.562)
Hf (0.808, 0.669, 0.438)
Hf (0.808, 0.831, 0.938)
Si (0.085, 0.541, 0.861)
Si (0.085, 0.959, 0.361)
Si (0.500, 0.132, 0.868)
Si (0.500, 0.368, 0.368)
Si (0.500, 0.632, 0.632)
Si (0.500, 0.868, 0.132)
Si (0.915, 0.041, 0.639)
Si (0.915, 0.459, 0.139)
Mo (0.241, 0.663, 0.251)
Mo (0.241, 0.837, 0.751)
Mo (0.500, 0.000, 0.500)
Mo (0.500, 0.500, 0.000)
Mo (0.759, 0.163, 0.249)
Mo (0.759, 0.337, 0.749)

Summary:
- ΔE_f (raw): -0.662 eV per atom
- Total magnetic moment: 0.00 Bohr magnetons per cell
- E above lowest polymorph: 14 meV/atom



No. 11
Below is a geometry-optimized HfSiMo2 structure, with properties calculated at the PBE level.

Cell: 5.887 5.887 5.887 Å, 101.11 101.11 127.92°
Fractional positions:
Hf (0.000, 0.000, 0.000)
Hf (0.750, 0.250, 0.500)
Si (0.250, 0.750, 0.500)
Si (0.500, 0.500, 0.000)
Mo (0.192, 0.625, 0.067)
Mo (0.375, 0.442, 0.567)
Mo (0.558, 0.125, 0.933)
Mo (0.875, 0.808, 0.433)

Summary:
- ΔE_f (raw): 0.320 eV per atom
- Total magnetic moment: 0.00 Bohr magnetons per cell



No. 12
Below is a geometry-optimized Hf2TaSiMo structure, with properties calculated at the PBE level.

Cell: 4.937 4.937 4.585 Å, 90.00 90.00 90.00°
Fractional positions:
Hf (0.000, 0.500, 0.000)
Hf (0.500, 0.000, 0.000)
Ta (0.000, 0.000, 0.500)
Si (0.500, 0.500, 0.500)
Mo (0.500, 0.500, 0.000)

Summary:
- ΔE_f (raw): 1.006 eV per atom
- Total magnetic moment: 0.00 Bohr magnetons per cell



No. 13
Below is a geometry-optimized HfV2SiMo structure, with properties calculated at the PBE level.

Cell: 4.327 4.327 4.865 Å, 90.00 90.00 90.00°
Fractional positions:
Hf (0.000, 0.000, 0.000)
V (0.000, 0.500, 0.500)
V (0.500, 0.000, 0.500)
Si (0.000, 0.000, 0.500)
Mo (0.500, 0.500, 0.000)

Summary:
- ΔE_f (raw): 0.791 eV per atom
- Total magnetic moment: 0.00 Bohr magnetons per cell



No. 14
Below is a geometry-optimized YHfSiMo2 structure, with properties calculated at the PBE level.

Cell: 4.732 4.732 5.585 Å, 90.00 90.00 90.00°
Fractional positions:
Y (0.000, 0.000, 0.000)
Hf (0.000, 0.000, 0.500)
Si (0.500, 0.500, 0.000)
Mo (0.000, 0.500, 0.500)
Mo (0.500, 0.000, 0.500)

Summary:
- ΔE_f (raw): 1.646 eV per atom
- Total magnetic moment: 0.00 Bohr magnetons per cell



No. 15
Below is a geometry-optimized SmHf2Mo structure, with properties calculated at the PBE level.

Cell: 3.388 3.388 8.046 Å, 90.00 90.00 90.00°
Fractional positions:
Sm (0.000, 0.000, 0.000)
Hf (0.500, 0.500, 0.310)
Hf (0.500, 0.500, 0.690)
Mo (0.000, 0.000, 0.500)

Summary:
- Total magnetic moment: 0.00 Bohr magnetons per cell
- Formation energy: 0.0560 eV per atom



No. 16
Below is a geometry-optimized Hf8SnMo2 structure, with properties calculated at the PBE level.

Cell: 7.572 7.572 5.032 Å, 100.84 100.84 116.26°
Fractional positions:
Hf (0.086, 0.326, 0.599)
Hf (0.232, 0.768, 0.000)
Hf (0.326, 0.086, 0.599)
Hf (0.397, 0.397, 0.199)
Hf (0.603, 0.603, 0.801)
Hf (0.674, 0.914, 0.401)
Hf (0.768, 0.232, 0.000)
Hf (0.914, 0.674, 0.401)
Sn (0.000, 0.000, 0.000)
Mo (0.306, 0.694, 0.500)
Mo (0.694, 0.306, 0.500)

Summary:
- Total magnetic moment: 0.00 Bohr magnetons per cell
- Formation energy: 0.0957 eV per atom



No. 17
Below is a geometry-optimized HfSn2Mo structure, with properties calculated at the PBE level.

Cell: 10.741 10.741 10.741 Å, 157.78 157.78 31.63°
Fractional positions:
Hf (0.000, 0.000, 0.000)
Hf (0.750, 0.250, 0.500)
Sn (0.128, 0.625, 0.003)
Sn (0.375, 0.378, 0.503)
Sn (0.622, 0.125, 0.997)
Sn (0.875, 0.872, 0.497)
Mo (0.250, 0.750, 0.500)
Mo (0.500, 0.500, 0.000)

Summary:
- Total magnetic moment: 0.00 Bohr magnetons per cell
- E above lowest polymorph: 246 meV/atom
- Formation energy: 0.3418 eV per atom



No. 18
Below is a geometry-optimized Hf2Sn2Mo structure, with properties calculated at the PBE level.

Cell: 7.201 7.201 4.026 Å, 90.00 90.00 90.00°
Fractional positions:
Hf (0.167, 0.333, 0.000)
Hf (0.333, 0.833, 0.000)
Hf (0.667, 0.167, 0.000)
Hf (0.833, 0.667, 0.000)
Sn (0.139, 0.639, 0.500)
Sn (0.361, 0.139, 0.500)
Sn (0.639, 0.861, 0.500)
Sn (0.861, 0.361, 0.500)
Mo (0.000, 0.000, 0.500)
Mo (0.500, 0.500, 0.500)

Summary:
- Total magnetic moment: 0.00 Bohr magnetons per cell
- Formation energy: -0.1145 eV per atom



No. 19
Below is a geometry-optimized Hf5Sn2Mo2 structure, with properties calculated at the PBE level.

Cell: 8.510 8.510 7.001 Å, 90.00 90.00 51.54°
Fractional positions:
Hf (0.000, 0.000, 0.000)
Hf (0.039, 0.716, 0.654)
Hf (0.216, 0.539, 0.154)
Hf (0.284, 0.961, 0.654)
Hf (0.461, 0.784, 0.154)
Hf (0.500, 0.500, 0.500)
Hf (0.539, 0.216, 0.846)
Hf (0.716, 0.039, 0.346)
Hf (0.784, 0.461, 0.846)
Hf (0.961, 0.284, 0.346)
Sn (0.214, 0.214, 0.000)
Sn (0.286, 0.286, 0.500)
Sn (0.714, 0.714, 0.500)
Sn (0.786, 0.786, 0.000)
Mo (0.150, 0.850, 0.353)
Mo (0.350, 0.650, 0.853)
Mo (0.650, 0.350, 0.147)
Mo (0.850, 0.150, 0.647)

Summary:
- Total magnetic moment: 0.00 Bohr magnetons per cell
- Formation energy: -0.0185 eV per atom



No. 20
Below is a geometry-optimized Hf12Sn6Mo structure, with properties calculated at the PBE level.

Cell: 7.919 7.919 7.919 Å, 100.56 100.56 100.56°
Fractional positions:
Hf (0.011, 0.327, 0.057)
Hf (0.057, 0.011, 0.327)
Hf (0.216, 0.401, 0.516)
Hf (0.327, 0.057, 0.011)
Hf (0.401, 0.516, 0.216)
Hf (0.484, 0.784, 0.599)
Hf (0.516, 0.216, 0.401)
Hf (0.599, 0.484, 0.784)
Hf (0.673, 0.943, 0.989)
Hf (0.784, 0.599, 0.484)
Hf (0.943, 0.989, 0.673)
Hf (0.989, 0.673, 0.943)
Sn (0.109, 0.665, 0.336)
Sn (0.335, 0.664, 0.891)
Sn (0.336, 0.109, 0.665)
Sn (0.664, 0.891, 0.335)
Sn (0.665, 0.336, 0.109)
Sn (0.891, 0.335, 0.664)
Mo (0.000, 0.000, 0.000)

Summary:
- Total magnetic moment: 0.00 Bohr magnetons per cell
- Formation energy: 0.1398 eV per atom